A relaxed CrNClF2 crystal. Source: Alexandria, functional PBE with a Hubbard U.

Results
Its space group is P4/mmm, No. 123. The calculation puts the density of states at the Fermi level at 2.22 states/eV per cell. As for the offset from the most stable computed form: 835 meV per atom.

Lattice parameters (Å, degrees): 3.793 4.678 3.793 90.00 90.00 90.00
Positions (direct):
F 0.000 0.000 0.500
F 0.500 0.000 0.000
Cr 0.500 0.500 0.500
Cl 0.000 0.500 0.000
N 0.000 0.000 0.000